Computed, not measured: a geometry-optimized LiSiHg2 structure at the PBE-GGA level of DFT.

Cell lengths 3.3767, 4.1041, 5.7107 Å; angles 90.00, 90.00, 90.00 degrees
With the nearest neighbours (Å) after each atom.
Atoms (fractional coordinates):
Li (0.0000, 0.0000, 0.0000)  5 Hg 2.69-2.91
Si (0.5000, 0.5000, 0.2661)  6 Hg 2.72-2.99
Hg (0.0000, 0.0000, 0.4707)  1 Li 2.69, 4 Si 2.90
Hg (0.5000, 0.5000, 0.7902)  2 Si 2.72-2.99, 4 Li 2.91

uncorrected energy	-1.886	eV per atom
magnetization	0.000	Bohr magnetons per cell
theoretical density	9153	kg/m³